Entry 1:
Computed, not measured: a geometry-optimized LiHoTeSe structure at the PBE level of DFT.

The calculation puts the volume at 309 Å³/cell. For the spin magnetization, the calculation gives 0.0 μB/f.u. The calculation puts the total DFT energy (no corrections) at -4.758 eV/atom. The uncorrected formation energy comes out at -1478 meV/atom.

The space group is R3m (No. 160, hexagonal axes) and the conventional cell measures 4.1877, 4.1877 and 20.3571 Å, with angles of 90.00, 90.00 and 120.00 degrees. The inequivalent atoms are Li at (0.0000, 0.0000, 0.0000), Ho at (0.0000, 0.0000, 0.4889), Te at (0.0000, 0.0000, 0.2478) and Se at (0.0000, 0.0000, 0.7462).

=====

Entry 2:
Computed, not measured: a geometry-optimized LiHoTh2Se5 structure at the PBE level of DFT.

The calculation puts the volume at 873 Å³/cell. For the spin magnetization, the calculation gives 0.0 μB/f.u. The calculation puts the total DFT energy (no corrections) at -5.909 eV/atom. The uncorrected formation energy comes out at -1603 meV/atom.

The space group is Cmc2_1 (No. 36) and the conventional cell measures 4.0328, 17.2457 and 12.5466 Å, with angles of 90.00, 90.00 and 90.00 degrees. The inequivalent atoms are Li at (0.0000, 0.0096, 0.0000), Ho at (0.0000, 0.3047, 0.5191), Th at (0.0000, 0.3707, 0.8164), Th at (0.0000, 0.3904, 0.2001), Se at (0.0000, 0.0001, 0.3058), Se at (0.0000, 0.1396, 0.5164), Se at (0.0000, 0.1917, 0.8592), Se at (0.0000, 0.2124, 0.1783) and Se at (0.0000, 0.4548, 0.5927).